No. 1
BeSbTe2 after structural relaxation. Source: the Alexandria database, functional PBE.

Structure (extended XYZ):
```
4
Lattice="-0.411 4.292 6.197 -3.716 2.059 6.241 -0.261 0.534 7.526" Properties=species:S:1:pos:R:3 pbc="T T T"
Te -2.272 3.564 10.335
Sb -3.292 5.164 14.972
Te -4.311 6.763 19.610
Be -1.097 1.721 4.991
```

Values from the calculation:
- Space group: No. 166
- Polymorph energy (0 for the lowest one): 0.091 eV per atom
- Formation energy without anion corrections: 118 meV per atom
- Magnetic moment: 0.00 μB per cell

No. 2
AgPtCO5 after structural relaxation. Source: the Alexandria database, functional PBE.

Structure (extended XYZ):
```
16
Lattice="-1.214 1.228 5.083 1.666 -5.080 0.491 5.594 3.930 -1.890" Properties=species:S:1:pos:R:3 pbc="T T T"
Pt 2.797 1.965 -0.945
O 5.751 0.038 -0.623
O 4.689 -1.494 0.816
O 0.295 0.040 4.308
C 4.982 -0.207 0.475
O 3.274 3.534 3.199
O 2.333 -0.475 3.328
Ag 2.045 -1.864 1.644
O 0.452 -0.396 2.041
O 1.356 1.572 2.869
Ag 4.001 1.943 2.040
O 2.771 -3.456 0.486
O 5.594 0.475 1.644
O 3.713 0.553 0.356
C 1.063 0.285 3.209
Pt 0.000 0.000 0.000
```

Values from the calculation:
- Space group: No. 15
- Formation energy without anion corrections: -449 meV per atom
- Magnetic moment: 0.66 μB per cell